VASP calculation (PBE) on a relaxed RbScNiTe3 crystal.

Output
Its space group is No. 62.

Unit cell a=10.9297 b=4.2719 c=15.5069 alpha=90.00 beta=90.00 gamma=90.00
Positions (direct):
Ni 0.8503 0.2500 0.1327
Ni 0.3503 0.2500 0.3673
Ni 0.6497 0.7500 0.6327
Ni 0.1497 0.7500 0.8673
Rb 0.5466 0.7500 0.1622
Rb 0.0466 0.7500 0.3378
Rb 0.9534 0.2500 0.6622
Rb 0.4534 0.2500 0.8378
Sc 0.1430 0.2500 0.0539
Sc 0.6430 0.2500 0.4461
Sc 0.3570 0.7500 0.5539
Sc 0.8570 0.7500 0.9461
Te 0.7022 0.2500 0.0059
Te 0.9713 0.7500 0.1168
Te 0.2699 0.2500 0.2162
Te 0.7699 0.2500 0.2838
Te 0.4713 0.7500 0.3832
Te 0.2022 0.2500 0.4941
Te 0.7978 0.7500 0.5059
Te 0.5287 0.2500 0.6168
Te 0.2301 0.7500 0.7162
Te 0.7301 0.7500 0.7838
Te 0.0287 0.2500 0.8832
Te 0.2978 0.7500 0.9941

VASP calculation (PBE) on a relaxed RbScNiTe3 crystal.

Output
Its space group is No. 62.

Unit cell a=11.1844 b=4.1835 c=15.6002 alpha=90.00 beta=90.00 gamma=90.00
Positions (direct):
Ni 0.7452 0.0000 0.2081
Ni 0.2452 0.0000 0.2919
Ni 0.7548 0.5000 0.7081
Ni 0.2548 0.5000 0.7919
Rb 0.2407 0.0000 0.0055
Rb 0.7407 0.0000 0.4945
Rb 0.2593 0.5000 0.5055
Rb 0.7593 0.5000 0.9945
Sc 0.5117 0.5000 0.2446
Sc 0.0117 0.5000 0.2554
Sc 0.9883 0.0000 0.7446
Sc 0.4883 0.0000 0.7554
Te 0.5555 0.0000 0.1175
Te 0.9479 0.0000 0.1304
Te 0.2578 0.5000 0.1994
Te 0.7578 0.5000 0.3006
Te 0.4479 0.0000 0.3696
Te 0.0555 0.0000 0.3825
Te 0.9445 0.5000 0.6175
Te 0.5521 0.5000 0.6304
Te 0.2422 0.0000 0.6994
Te 0.7422 0.0000 0.8006
Te 0.0521 0.5000 0.8696
Te 0.4445 0.5000 0.8825

VASP calculation (PBE) on a relaxed Rb2Ni3Se4 crystal.

Output
Its space group is No. 72.

Unit cell a=9.0927 b=9.0927 c=9.0927 alpha=142.66 beta=100.88 gamma=90.93
Positions (direct):
Ni 0.4960 0.2500 0.2460
Ni 0.9960 0.7500 0.2460
Ni 0.7500 0.2500 0.5000
Ni 0.2500 0.7500 0.5000
Ni 0.0040 0.2500 0.7540
Ni 0.5040 0.7500 0.7540
Rb 0.8767 0.2384 0.1151
Rb 0.6233 0.7384 0.3618
Rb 0.3767 0.2616 0.6382
Rb 0.1233 0.7616 0.8849
Se 0.2138 0.5996 0.1307
Se 0.5311 0.9169 0.1307
Se 0.9689 0.0996 0.3858
Se 0.2862 0.4169 0.3858
Se 0.7138 0.5831 0.6142
Se 0.0311 0.9004 0.6142
Se 0.4689 0.0831 0.8693
Se 0.7862 0.4004 0.8693

VASP calculation (PBE) on a relaxed Rb2NiSe2 crystal.

Output
Its space group is No. 72.

Unit cell a=8.3488 b=8.3488 c=8.3488 alpha=129.19 beta=70.44 gamma=134.66
Positions (direct):
Ni 0.2500 0.2500 0.0000
Ni 0.7500 0.7500 0.0000
Rb 0.3546 0.8328 0.1874
Rb 0.1454 0.3328 0.4782
Rb 0.8546 0.6672 0.5218
Rb 0.6454 0.1672 0.8126
Se 0.9042 0.1731 0.0773
Se 0.5958 0.6731 0.2689
Se 0.4042 0.3269 0.7311
Se 0.0958 0.8269 0.9227

VASP calculation (PBE) on a relaxed Rb2NiTeSe2 crystal.

Output
Its space group is No. 2.

Unit cell a=6.8130 b=6.9913 c=9.6395 alpha=96.61 beta=106.38 gamma=108.77
Positions (direct):
Ni 0.1463 0.0799 0.1305
Ni 0.8537 0.9201 0.8695
Rb 0.6494 0.8588 0.1778
Rb 0.1841 0.6063 0.3519
Rb 0.8159 0.3937 0.6481
Rb 0.3506 0.1412 0.8222
Se 0.9401 0.2468 0.0018
Se 0.2625 0.1487 0.3875
Se 0.7375 0.8513 0.6125
Se 0.0599 0.7532 0.9982
Te 0.5531 0.3282 0.2466
Te 0.4469 0.6718 0.7534

VASP calculation (PBE) on a relaxed RbTmNiSe3 crystal.

Output
Its space group is No. 12.

Unit cell a=8.5384 b=8.5384 c=8.9404 alpha=100.39 beta=100.39 gamma=28.53
Positions (direct):
Ni 0.5039 0.5039 0.2940
Ni 0.4961 0.4961 0.7060
Rb 0.1513 0.1513 0.0702
Rb 0.8487 0.8487 0.9298
Se 0.5000 0.5000 0.0000
Se 0.3582 0.3582 0.2242
Se 0.6595 0.6595 0.3620
Se 0.0000 0.0000 0.5000
Se 0.3405 0.3405 0.6380
Se 0.6418 0.6418 0.7758
Tm 0.8342 0.8342 0.4188
Tm 0.1658 0.1658 0.5812

VASP calculation (PBE) on a relaxed RbTmNiSe3 crystal.

Output
Its space group is No. 11.

Unit cell a=9.2306 b=4.0507 c=9.8361 alpha=90.00 beta=110.49 gamma=90.00
Positions (direct):
Ni 0.5782 0.2500 0.0950
Ni 0.4218 0.7500 0.9050
Rb 0.2930 0.7500 0.2609
Rb 0.7070 0.2500 0.7391
Se 0.6874 0.7500 0.0438
Se 0.0340 0.2500 0.3380
Se 0.6151 0.2500 0.3508
Se 0.3849 0.7500 0.6492
Se 0.9660 0.7500 0.6620
Se 0.3126 0.2500 0.9562
Tm 0.8287 0.7500 0.3594
Tm 0.1713 0.2500 0.6406

VASP calculation (PBE) on a relaxed RbYNiSe3 crystal.

Output
Its space group is No. 11.

Unit cell a=9.2789 b=4.0892 c=9.8670 alpha=90.00 beta=110.12 gamma=90.00
Positions (direct):
Ni 0.4208 0.7500 0.4015
Ni 0.5792 0.2500 0.5985
Rb 0.7085 0.2500 0.2438
Rb 0.2915 0.7500 0.7562
Se 0.3855 0.7500 0.1475
Se 0.9630 0.7500 0.1628
Se 0.3184 0.2500 0.4581
Se 0.6816 0.7500 0.5419
Se 0.0370 0.2500 0.8372
Se 0.6145 0.2500 0.8525
Y 0.1706 0.2500 0.1417
Y 0.8294 0.7500 0.8583

VASP calculation (PBE) on a relaxed RbYNiSe3 crystal.

Output
Its space group is No. 12.

Unit cell a=8.6010 b=8.6010 c=8.9373 alpha=101.14 beta=101.14 gamma=28.64
Positions (direct):
Ni 0.4967 0.4967 0.2072
Ni 0.5033 0.5033 0.7928
Rb 0.8501 0.8501 0.4288
Rb 0.1499 0.1499 0.5712
Se 0.0000 0.0000 0.0000
Se 0.3424 0.3424 0.1398
Se 0.6416 0.6416 0.2808
Se 0.5000 0.5000 0.5000
Se 0.3584 0.3584 0.7192
Se 0.6576 0.6576 0.8602
Y 0.1667 0.1667 0.0838
Y 0.8333 0.8333 0.9162

VASP calculation (PBE) on a relaxed RbZnNiSe3 crystal.

Output
Its space group is No. 63.

Unit cell a=7.6959 b=7.6959 c=10.4139 alpha=90.00 beta=90.00 gamma=151.22
Positions (direct):
Ni 0.0000 0.0000 0.0000
Ni 0.0000 0.0000 0.5000
Rb 0.2510 0.7490 0.2500
Rb 0.7490 0.2510 0.7500
Se 0.6037 0.3963 0.0345
Se 0.9393 0.0607 0.2500
Se 0.6037 0.3963 0.4655
Se 0.3963 0.6037 0.5345
Se 0.0607 0.9393 0.7500
Se 0.3963 0.6037 0.9655
Zn 0.5383 0.4617 0.2500
Zn 0.4617 0.5383 0.7500

VASP calculation (PBE) on a relaxed RbNiSn crystal.

Output
Its space group is No. 216. The energy above the most stable polymorph in this dataset comes out at 2.27 eV per formula unit.

Unit cell a=5.3008 b=5.3008 c=5.3008 alpha=60.00 beta=60.00 gamma=60.00
Positions (direct):
Ni 0.2500 0.2500 0.2500
Rb 0.0000 0.0000 0.0000
Sn 0.7500 0.7500 0.7500

VASP calculation (PBE) on a relaxed RbNiSn crystal.

Output
Its space group is No. 216. The energy above the most stable polymorph in this dataset comes out at 0.83 eV per formula unit.

Unit cell a=5.1347 b=5.1347 c=5.1347 alpha=60.00 beta=60.00 gamma=60.00
Positions (direct):
Ni 0.2500 0.2500 0.2500
Rb 0.7500 0.7500 0.7500
Sn 0.0000 0.0000 0.0000

Number 1: calculated density 5.247 Mg/m³, E_tot -4.460 eV/atom. Number 2: calculated density 5.204 Mg/m³, E_tot -4.526 eV/atom. Number 3: calculated density 5.119 Mg/m³, E_tot -4.179 eV/atom. Number 4: calculated density 4.093 Mg/m³, E_tot -3.625 eV/atom. Number 5: calculated density 4.212 Mg/m³, E_tot -3.535 eV/atom. Number 6: calculated density 5.972 Mg/m³, E_tot -4.577 eV/atom. Number 7: calculated density 5.302 Mg/m³, E_tot -4.768 eV/atom. Number 8: calculated density 4.440 Mg/m³, E_tot -5.107 eV/atom. Number 9: calculated density 5.026 Mg/m³, E_tot -4.914 eV/atom. Number 10: calculated density 4.993 Mg/m³, E_tot -3.578 eV/atom. Number 11: calculated density 4.145 Mg/m³, E_tot -2.182 eV/atom. Number 12: calculated density 4.560 Mg/m³, E_tot -2.662 eV/atom.